The following is a DFT calculation (PBE with a Hubbard U) of a relaxed VCu2AgO6 crystal.

symmetry: C2/c, No. 15
calculated total energy: -5.641 eV per atom
DOS(E_F): 0.641 states/eV/atom

Cell lengths 6.739, 6.739, 7.019 Å; angles 97.96, 97.96, 98.59 degrees
Fractional positions:
V  0.111  0.889  0.750
V  0.889  0.111  0.250
Cu  0.358  0.386  0.341
Cu  0.386  0.358  0.841
Cu  0.614  0.642  0.159
Cu  0.642  0.614  0.659
Ag  0.201  0.799  0.250
Ag  0.799  0.201  0.750
O  0.160  0.161  0.777
O  0.161  0.160  0.277
O  0.199  0.777  0.552
O  0.223  0.801  0.948
O  0.364  0.457  0.096
O  0.457  0.364  0.596
O  0.543  0.636  0.404
O  0.636  0.543  0.904
O  0.777  0.199  0.052
O  0.801  0.223  0.448
O  0.839  0.840  0.723
O  0.840  0.839  0.223